The following is a DFT calculation (GGA+U) of crystalline Ni2BIrO at its relaxed geometry.

Summary:
As for the space group: P4/mmm, No. 123. The volume comes out at 12.312 A^3/atom. For the total energy, the calculation gives -4.328 eV/atom.

a b c (Å): 3.928 3.928 3.990
angles (deg): 90.00 90.00 90.00
Positions (direct):
Ni1 0.000 0.500 0.000
Ni2 0.500 0.000 0.000
B1 0.000 0.000 0.000
Ir1 0.000 0.000 0.500
O1 0.500 0.500 0.500